A plane-wave DFT calculation with PBE was carried out for Se3Br after structural relaxation.

Structure (POSCAR):
```
Se3Br
1.0
-2.209 7.659 4.229
-2.330 -5.764 -6.540
-1.459 -1.379 1.735
Br Se
1 3
Cartesian
0.000 0.000 0.000
-1.895 -3.571 -2.402
-1.834 3.140 2.982
-2.270 0.947 -1.155
```

## Properties
crystal system = orthorhombic
offset from the most stable computed form = 242 meV per atom
DOS at the Fermi energy = 3.37 states/eV/cell
energy = -0.2011 Ry/atom
SG = Cmmm
energy relative to the elements, uncorrected = 0.295 eV per atom